1.
Entry from Alexandria: an optimized crystal structure of NpCd3Ni8 (PBE-GGA).

## Properties
The calculation puts the total energy at -5.21 eV per atom. The formation energy comes out at -45.9 meV/atom. The value obtained for the calculated volume is 14.196 Å³ per atom. Its space-group type is R3m, No. 160.

Unit cell a=4.929 b=4.929 c=8.582 alpha=73.31 beta=73.31 gamma=60.00
Site moments in Bohr magnetons follow the coordinates.
Sites, in units of the cell vectors:
1 Ni 0.688 0.688 0.936  0.23
2 Ni 0.438 0.438 0.189  0.34
3 Ni 0.934 0.438 0.189  0.34
4 Ni 0.188 0.188 0.436  0.36
5 Ni 0.440 0.938 0.684  0.26
6 Ni 0.938 0.440 0.684  0.26
7 Ni 0.438 0.934 0.189  0.34
8 Ni 0.938 0.938 0.684  0.26
9 Np 0.876 0.876 0.371  -3.32
10 Cd 0.005 0.005 0.985  -0.02
11 Cd 0.372 0.372 0.883  -0.01
12 Cd 0.493 0.493 0.521  -0.02

***

2.
Entry from Alexandria: an optimized crystal structure of Pa3In5Bi12 (PBE-GGA).

## Properties
The calculation puts the total energy at -4.32 eV per atom. The formation energy comes out at 115.6 meV/atom. The value obtained for the calculated volume is 38.514 Å³ per atom. Its space-group type is Ia-3d, No. 230.

Unit cell a=15.877 b=15.877 c=15.877 alpha=109.47 beta=109.47 gamma=109.47
Sites, in units of the cell vectors:
1 Bi 0.741 0.593 0.175
2 Bi 0.418 0.351 0.593
3 Bi 0.582 0.649 0.407
4 Bi 0.759 0.433 0.351
5 Bi 0.407 0.149 0.582
6 Bi 0.082 0.175 0.433
7 Bi 0.407 0.259 0.325
8 Bi 0.675 0.433 0.582
9 Bi 0.149 0.741 0.567
10 Bi 0.649 0.582 0.907
11 Bi 0.325 0.759 0.407
12 Bi 0.093 0.175 0.241
13 Bi 0.093 0.918 0.351
14 Bi 0.351 0.933 0.759
15 Bi 0.351 0.418 0.093
16 Bi 0.433 0.675 0.082
17 Bi 0.741 0.149 0.067
18 Bi 0.825 0.907 0.259
19 Bi 0.567 0.241 0.149
20 Bi 0.933 0.351 0.259
21 Bi 0.649 0.067 0.241
22 Bi 0.907 0.082 0.649
23 Bi 0.175 0.082 0.933
24 Bi 0.933 0.582 0.175
25 Bi 0.582 0.933 0.675
26 Bi 0.851 0.593 0.918
27 Bi 0.418 0.067 0.325
28 Bi 0.907 0.825 0.759
29 Bi 0.067 0.649 0.741
30 Bi 0.175 0.093 0.741
31 Bi 0.325 0.567 0.418
32 Bi 0.241 0.567 0.649
33 Bi 0.593 0.851 0.418
34 Bi 0.067 0.418 0.825
35 Bi 0.593 0.741 0.675
36 Bi 0.567 0.325 0.918
37 Bi 0.149 0.407 0.082
38 Bi 0.851 0.259 0.433
39 Bi 0.825 0.918 0.067
40 Bi 0.433 0.759 0.851
41 Bi 0.259 0.851 0.933
42 Bi 0.675 0.241 0.593
43 Bi 0.082 0.907 0.149
44 Bi 0.918 0.093 0.851
45 Bi 0.759 0.325 0.907
46 Bi 0.241 0.675 0.093
47 Bi 0.918 0.825 0.567
48 Bi 0.259 0.407 0.825
49 In 0.500 0.000 0.000
50 In 0.000 0.000 0.000
51 In 0.875 0.625 0.750
52 In 0.250 0.875 0.125
53 In 0.750 0.625 0.375
54 In 0.000 0.500 0.500
55 In 0.500 0.000 0.500
56 In 0.500 0.500 0.000
57 In 0.875 0.250 0.625
58 In 0.625 0.875 0.250
59 In 0.000 0.000 0.500
60 In 0.250 0.375 0.625
61 In 0.375 0.250 0.125
62 In 0.625 0.750 0.875
63 In 0.000 0.500 0.000
64 In 0.125 0.375 0.250
65 In 0.375 0.125 0.750
66 In 0.750 0.125 0.875
67 In 0.500 0.500 0.500
68 In 0.125 0.750 0.375
69 Pa 0.375 0.750 0.625
70 Pa 0.125 0.250 0.875
71 Pa 0.625 0.375 0.750
72 Pa 0.750 0.375 0.125
73 Pa 0.750 0.875 0.625
74 Pa 0.250 0.625 0.875
75 Pa 0.250 0.125 0.375
76 Pa 0.375 0.625 0.250
77 Pa 0.875 0.125 0.250
78 Pa 0.625 0.250 0.375
79 Pa 0.125 0.875 0.750
80 Pa 0.875 0.750 0.125

***

3.
Entry from Alexandria: an optimized crystal structure of Li3TbMg6 (PBE-GGA).

## Properties
The calculation puts the total energy at -2.04 eV per atom. The formation energy comes out at -44.6 meV/atom. The value obtained for the calculated volume is 22.459 Å³ per atom. Its space-group type is P2_1/m, No. 11.

Unit cell a=4.853 b=9.125 c=10.243 alpha=98.01 beta=90.00 gamma=90.00
Sites, in units of the cell vectors:
1 Mg 0.750 0.833 0.785
2 Mg 0.250 0.471 0.101
3 Mg 0.250 0.058 0.914
4 Mg 0.750 0.720 0.474
5 Mg 0.250 0.280 0.526
6 Mg 0.750 0.529 0.899
7 Mg 0.250 0.167 0.215
8 Mg 0.250 0.614 0.694
9 Mg 0.750 0.386 0.306
10 Mg 0.250 0.828 0.273
11 Mg 0.750 0.172 0.727
12 Mg 0.750 0.942 0.086
13 Li 0.250 0.343 0.818
14 Li 0.250 0.746 0.969
15 Li 0.750 0.449 0.604
16 Li 0.750 0.657 0.182
17 Li 0.250 0.551 0.396
18 Li 0.750 0.254 0.031
19 Tb 0.750 0.058 0.403
20 Tb 0.250 0.942 0.597

***

4.
Entry from Alexandria: an optimized crystal structure of Li3Cd12Ag (PBE-GGA).

## Properties
The calculation puts the total energy at -1.34 eV per atom. The formation energy comes out at -118.4 meV/atom. The value obtained for the calculated volume is 20.686 Å³ per atom. Its space-group type is P4/mmm, No. 123.

Unit cell a=4.295 b=4.295 c=17.943 alpha=90.00 beta=90.00 gamma=90.00
Sites, in units of the cell vectors:
1 Cd 0.500 0.000 0.874
2 Cd 0.000 0.500 0.625
3 Cd 0.500 0.500 0.500
4 Cd 0.500 0.000 0.625
5 Cd 0.500 0.500 0.000
6 Cd 0.500 0.500 0.751
7 Cd 0.000 0.500 0.874
8 Cd 0.500 0.000 0.126
9 Cd 0.500 0.500 0.249
10 Cd 0.000 0.500 0.375
11 Cd 0.500 0.000 0.375
12 Cd 0.000 0.500 0.126
13 Li 0.000 0.000 0.750
14 Li 0.000 0.000 0.500
15 Li 0.000 0.000 0.250
16 Ag 0.000 0.000 0.000